{"formula": "ScAlPCl2", "functional": "PBE", "state": "relaxed", "lattice": [[4.846, 0.000, 0.000], [0.000, 4.846, 0.000], [0.000, 0.000, 5.361]], "species": ["Sc", "Al", "P", "Cl", "Cl"], "frac_coords": [[0.000, 0.000, 0.000], [0.500, 0.500, 0.500], [0.000, 0.000, 0.500], [0.000, 0.500, 0.000], [0.500, 0.000, 0.000]], "de_polymorph_ev_per_atom": 0.0000, "spacegroup": "No. 123", "e_form_raw_ev_per_atom": -0.681}

{"formula": "TiB2AsRu", "functional": "PBE", "state": "relaxed", "lattice": [[3.990, 0.000, 0.000], [0.000, 3.990, 0.000], [0.000, 0.000, 4.962]], "species": ["Ti", "B", "B", "As", "Ru"], "frac_coords": [[0.000, 0.000, 0.000], [0.000, 0.500, 0.500], [0.500, 0.000, 0.500], [0.500, 0.500, 0.000], [0.000, 0.000, 0.500]], "spacegroup": "No. 123", "delta_e_f_mev_per_atom": 653.2}

{"formula": "YRe2Tc", "functional": "PBE", "state": "relaxed", "lattice": [[-1.929, 1.929, 4.687], [1.929, -1.929, 4.687], [1.929, 1.929, -4.687]], "species": ["Y", "Re", "Re", "Tc"], "frac_coords": [[0.000, 0.000, 0.000], [0.250, 0.750, 0.500], [0.750, 0.250, 0.500], [0.500, 0.500, 0.000]], "de_polymorph_ev_per_atom": 0.3603, "spacegroup": "No. 139", "delta_e_f_mev_per_atom": 560.3}

{"formula": "Cs2Tl2HgAu4", "functional": "PBE", "state": "relaxed", "lattice": [[6.905, -3.594, 0.000], [6.905, 3.594, 0.000], [-0.437, 0.000, 6.005]], "species": ["Cs", "Cs", "Tl", "Tl", "Hg", "Au", "Au", "Au", "Au"], "frac_coords": [[0.097, 0.097, 0.258], [0.903, 0.903, 0.742], [0.292, 0.292, 0.786], [0.708, 0.708, 0.214], [0.500, 0.500, 0.500], [0.149, 0.548, 0.238], [0.452, 0.851, 0.762], [0.548, 0.149, 0.238], [0.851, 0.452, 0.762]], "spacegroup": "No. 12", "delta_e_f_mev_per_atom": -142.1}